No. 1
TbHf2Ti | PBE | relaxed

Computed properties:
ΔE_f = 0.171 eV/atom
Offset from the most stable computed form = 0.000 eV/atom

Lattice parameters (Å, degrees): 3.5882 3.5882 7.2123 90.00 90.00 90.00
Space group P4/mmm (No. 123)
Asymmetric unit:
Tb (0.0000, 0.0000, 0.0000) [1 per cell]
Hf (0.5000, 0.5000, 0.2985) [2 per cell]
Ti (0.0000, 0.0000, 0.5000) [1 per cell]


No. 2
UCl4 | PBE | relaxed

Computed properties:
Raw formation energy = -1.68 eV per atom

Lattice parameters (Å, degrees): 8.3563 8.3563 7.7805 90.00 90.00 90.00
Space group I4_1/amd (No. 141, origin choice 2)
Asymmetric unit:
U (0.0000, 0.2500, 0.3750) [4 per cell]
Cl (0.0000, 0.0611, 0.6913) [16 per cell]


No. 3
ZrTa2CrC4 | PBE | relaxed

Computed properties:
ΔE_f = -0.339 eV/atom

Lattice parameters (Å, degrees): 3.1420 10.8795 10.9275 90.00 90.00 90.00
Space group Cmcm (No. 63)
Asymmetric unit:
Zr (0.0000, 0.1188, 0.2500) [4 per cell]
Ta (0.0000, 0.3682, 0.0394) [8 per cell]
Cr (0.0000, 0.1466, 0.7500) [4 per cell]
C (0.0000, 0.0000, 0.0000) [4 per cell]
C (0.0000, 0.2629, 0.6229) [8 per cell]
C (0.0000, 0.4547, 0.2500) [4 per cell]


No. 4
KBa2MgNb | PBE | relaxed

Computed properties:
ΔE_f = 1.443 eV/atom

Lattice parameters (Å, degrees): 6.5095 6.5095 5.4801 90.00 90.00 90.00
Space group P4/mmm (No. 123)
Asymmetric unit:
K (0.0000, 0.0000, 0.0000) [1 per cell]
Ba (0.0000, 0.5000, 0.0000) [2 per cell]
Mg (0.0000, 0.0000, 0.5000) [1 per cell]
Nb (0.5000, 0.5000, 0.5000) [1 per cell]


No. 5
PrHoEr2Bi4 | PBE | relaxed

Computed properties:
ΔE_f = -0.848 eV/atom

Lattice parameters (Å, degrees): 7.7933 4.5056 7.7952 90.00 109.50 90.00
Space group P2/m (No. 10)
Asymmetric unit:
Pr (0.0000, 0.0000, 0.0000) [1 per cell]
Ho (0.0000, 0.5000, 0.5000) [1 per cell]
Er (0.5000, 0.0000, 0.5000) [1 per cell]
Er (0.5000, 0.5000, 0.0000) [1 per cell]
Bi (0.2551, 0.0000, 0.7464) [2 per cell]
Bi (0.2590, 0.5000, 0.2584) [2 per cell]


No. 6
NiMoOs2 | PBE | relaxed

Computed properties:
ΔE_f = 0.070 eV/atom
Offset from the most stable computed form = 0.032 eV/atom

Lattice parameters (Å, degrees): 2.7098 3.8392 5.3664 90.00 90.06 90.00
Space group Pm (No. 6)
Asymmetric unit:
Ni (0.0000, 0.0000, 0.0000) [1 per cell]
Mo (0.5016, 0.5000, 0.7580) [1 per cell]
Os (0.0001, 0.0000, 0.4859) [1 per cell]
Os (0.4993, 0.5000, 0.2408) [1 per cell]


Repeat the fourth record exactly.
KBa2MgNb | PBE | relaxed

Computed properties:
ΔE_f = 1.443 eV/atom

Lattice parameters (Å, degrees): 6.5095 6.5095 5.4801 90.00 90.00 90.00
Space group P4/mmm (No. 123)
Asymmetric unit:
K (0.0000, 0.0000, 0.0000) [1 per cell]
Ba (0.0000, 0.5000, 0.0000) [2 per cell]
Mg (0.0000, 0.0000, 0.5000) [1 per cell]
Nb (0.5000, 0.5000, 0.5000) [1 per cell]


Repeat the fourth record exactly.
KBa2MgNb | PBE | relaxed

Computed properties:
ΔE_f = 1.443 eV/atom

Lattice parameters (Å, degrees): 6.5095 6.5095 5.4801 90.00 90.00 90.00
Space group P4/mmm (No. 123)
Asymmetric unit:
K (0.0000, 0.0000, 0.0000) [1 per cell]
Ba (0.0000, 0.5000, 0.0000) [2 per cell]
Mg (0.0000, 0.0000, 0.5000) [1 per cell]
Nb (0.5000, 0.5000, 0.5000) [1 per cell]


Q: Number 2 is which compound?
A: UCl4